(1)
This record from Alexandria describes a relaxed Cd2PdCl crystal. The functional is GGA-PBE.

Properties
Its density of states at the Fermi level is 10.94 states/eV per cell. As for the crystal system: cubic. The calculation puts the uncorrected energy at -2.214 eV per atom. The value obtained for the spin magnetization is 0.00 Bohr magnetons per cell. The value obtained for the density is 7.32 g cm⁻³.

a = 6.929 Å, b = 6.929 Å, c = 6.929 Å
α = 90.00°, β = 90.00°, γ = 90.00°
Fractional positions:
Cd  0.250  0.250  0.250
Cd  0.250  0.250  0.750
Cd  0.250  0.750  0.250
Cd  0.250  0.750  0.750
Cd  0.750  0.250  0.250
Cd  0.750  0.250  0.750
Cd  0.750  0.750  0.250
Cd  0.750  0.750  0.750
Pd  0.000  0.000  0.000
Pd  0.000  0.500  0.500
Pd  0.500  0.000  0.500
Pd  0.500  0.500  0.000
Cl  0.000  0.000  0.500
Cl  0.000  0.500  0.000
Cl  0.500  0.000  0.000
Cl  0.500  0.500  0.500


(2)
This record from Alexandria describes a relaxed CdPdCl2 crystal. The functional is GGA-PBE.

Properties
Its density of states at the Fermi level is 6.27 states/eV per cell. As for the crystal system: trigonal. The calculation puts the uncorrected energy at -2.765 eV per atom. The value obtained for the spin magnetization is 0.38 Bohr magnetons per cell. The value obtained for the density is 4.85 g cm⁻³.

a = 3.817 Å, b = 3.817 Å, c = 23.568 Å
α = 90.00°, β = 90.00°, γ = 120.00°
Fractional positions:
Cd  0.000  0.000  0.000
Cd  0.333  0.667  0.667
Cd  0.667  0.333  0.333
Pd  0.000  0.000  0.500
Pd  0.333  0.667  0.167
Pd  0.667  0.333  0.833
Cl  0.000  0.000  0.401
Cl  0.000  0.000  0.599
Cl  0.333  0.667  0.068
Cl  0.333  0.667  0.266
Cl  0.667  0.333  0.734
Cl  0.667  0.333  0.932


(3)
This record from Alexandria describes a relaxed CdPd2Cl crystal. The functional is GGA-PBE.

Properties
Its density of states at the Fermi level is 4.85 states/eV per cell. As for the crystal system: cubic. The calculation puts the uncorrected energy at -3.272 eV per atom. The value obtained for the spin magnetization is 0.00 Bohr magnetons per cell. The value obtained for the density is 8.45 g cm⁻³.

a = 6.570 Å, b = 6.570 Å, c = 6.570 Å
α = 90.00°, β = 90.00°, γ = 90.00°
Fractional positions:
Cd  0.000  0.000  0.000
Cd  0.000  0.500  0.500
Cd  0.500  0.000  0.500
Cd  0.500  0.500  0.000
Pd  0.250  0.250  0.250
Pd  0.250  0.250  0.750
Pd  0.250  0.750  0.250
Pd  0.250  0.750  0.750
Pd  0.750  0.250  0.250
Pd  0.750  0.250  0.750
Pd  0.750  0.750  0.250
Pd  0.750  0.750  0.750
Cl  0.000  0.000  0.500
Cl  0.000  0.500  0.000
Cl  0.500  0.000  0.000
Cl  0.500  0.500  0.500